--- one ---
A plane-wave DFT calculation with PBE was carried out for Cs2BeAs2 after structural relaxation.

```
Cs2BeAs2
1.0
6.779 0.000 0.000
0.000 6.779 0.000
0.000 0.000 6.158
Cs Be As
4 2 4
direct
0.178 0.322 0.000
0.322 0.822 0.000
0.678 0.178 0.000
0.822 0.678 0.000
0.000 0.000 0.500
0.500 0.500 0.500
0.137 0.637 0.500
0.363 0.137 0.500
0.637 0.863 0.500
0.863 0.363 0.500
```

Properties
SG: P4/mbm


--- two ---
A plane-wave DFT calculation with PBE was carried out for Cs2BeAs2 after structural relaxation.

```
Cs2BeAs2
1.0
-3.692 3.692 3.564
3.692 -3.692 3.564
3.692 3.692 -3.564
Cs Be As
2 1 2
direct
0.250 0.750 0.500
0.750 0.250 0.500
0.000 0.000 0.000
0.304 0.304 0.000
0.696 0.696 0.000
```

Properties
SG: I4/mmm


It is one that is the most stable of them.


--- one ---
A plane-wave DFT calculation with PBE was carried out for Cs2BeHgAs after structural relaxation.

```
Cs2BeHgAs
1.0
7.099 0.000 0.000
0.000 7.099 0.000
0.000 0.000 4.058
Cs Be Hg As
2 1 1 1
direct
0.000 0.500 0.000
0.500 0.000 0.000
0.000 0.000 0.000
0.500 0.500 0.500
0.000 0.000 0.500
```

Properties
SG: P4/mmm


--- two ---
A plane-wave DFT calculation with PBE was carried out for Cs2BeHgAs after structural relaxation.

```
Cs2BeHgAs
1.0
7.314 0.000 0.000
0.000 7.314 0.000
0.000 0.000 4.094
Cs Be Hg As
2 1 1 1
direct
0.000 0.500 0.000
0.500 0.000 0.000
0.000 0.000 0.500
0.500 0.500 0.500
0.000 0.000 0.000
```

Properties
SG: P4/mmm


It is one that is the most stable of them.


--- one ---
A plane-wave DFT calculation with PBE was carried out for CsBe2AsO after structural relaxation.

```
CsBe2AsO
1.0
3.917 0.000 0.000
0.000 3.917 0.000
0.000 0.000 8.038
Cs Be As O
1 2 1 1
direct
0.000 0.000 0.000
0.000 0.500 0.500
0.500 0.000 0.500
0.500 0.500 0.000
0.500 0.500 0.500
```

Properties
SG: P4/mmm


--- two ---
A plane-wave DFT calculation with PBE was carried out for CsBe2AsO after structural relaxation.

```
CsBe2AsO
1.0
6.443 0.000 0.000
0.000 6.443 0.000
0.000 0.000 6.019
Cs Be As O
1 2 1 1
direct
0.000 0.000 0.000
0.000 0.500 0.000
0.500 0.000 0.000
0.000 0.000 0.500
0.500 0.500 0.500
```

Properties
SG: P4/mmm


It is one that is the most stable of them.


--- one ---
A plane-wave DFT calculation with PBE was carried out for BeCuAs3 after structural relaxation.

```
BeCuAs3
1.0
4.678 0.000 0.000
0.000 4.678 0.000
0.000 0.000 4.678
Be Cu As
1 1 3
direct
0.000 0.000 0.000
0.500 0.500 0.500
0.000 0.500 0.500
0.500 0.000 0.500
0.500 0.500 0.000
```

Properties
SG: Pm-3m


--- two ---
A plane-wave DFT calculation with PBE was carried out for BeCuAs3 after structural relaxation.

```
BeCuAs3
1.0
4.465 0.000 0.000
0.000 4.465 0.000
0.000 0.000 4.465
Be Cu As
1 1 3
direct
0.000 0.000 0.000
0.500 0.500 0.500
0.000 0.000 0.500
0.000 0.500 0.000
0.500 0.000 0.000
```

Properties
SG: Pm-3m


It is two that is the most stable of them.


--- one ---
A plane-wave DFT calculation with PBE was carried out for BeCuAs2Se after structural relaxation.

```
BeCuAs2Se
1.0
4.625 0.000 0.000
0.000 4.625 0.000
0.000 0.000 4.896
Be Cu As Se
1 1 2 1
direct
0.000 0.000 0.000
0.500 0.500 0.500
0.000 0.500 0.500
0.500 0.000 0.500
0.500 0.500 0.000
```

Properties
SG: P4/mmm


--- two ---
A plane-wave DFT calculation with PBE was carried out for BeCuAs2Se after structural relaxation.

```
BeCuAs2Se
1.0
4.402 0.000 0.000
0.000 4.402 0.000
0.000 0.000 4.744
Be Cu As Se
1 1 2 1
direct
0.000 0.000 0.000
0.500 0.500 0.500
0.000 0.500 0.000
0.500 0.000 0.000
0.000 0.000 0.500
```

Properties
SG: P4/mmm


It is two that is the most stable of them.


--- one ---
A plane-wave DFT calculation with PBE was carried out for BeCuAsSe2 after structural relaxation.

```
BeCuAsSe2
1.0
4.721 0.000 0.000
0.000 4.721 0.000
0.000 0.000 4.244
Be Cu As Se
1 1 1 2
direct
0.000 0.000 0.000
0.500 0.500 0.500
0.000 0.000 0.500
0.000 0.500 0.000
0.500 0.000 0.000
```

Properties
SG: P4/mmm


--- two ---
A plane-wave DFT calculation with PBE was carried out for BeCuAsSe2 after structural relaxation.

```
BeCuAsSe2
1.0
4.879 0.000 0.000
0.000 4.879 0.000
0.000 0.000 4.487
Be Cu As Se
1 1 1 2
direct
0.000 0.000 0.000
0.500 0.500 0.500
0.500 0.500 0.000
0.000 0.500 0.500
0.500 0.000 0.500
```

Properties
SG: P4/mmm


It is one that is the most stable of them.


--- one ---
A plane-wave DFT calculation with PBE was carried out for BeAsF3 after structural relaxation.

```
BeAsF3
1.0
3.761 0.000 0.000
0.000 3.761 0.000
0.000 0.000 3.761
Be As F
1 1 3
direct
0.000 0.000 0.000
0.500 0.500 0.500
0.000 0.000 0.500
0.000 0.500 0.000
0.500 0.000 0.000
```

Properties
SG: Pm-3m


--- two ---
A plane-wave DFT calculation with PBE was carried out for BeAsF3 after structural relaxation.

```
BeAsF3
1.0
4.261 0.000 0.000
0.000 4.261 0.000
0.000 0.000 4.261
Be As F
1 1 3
direct
0.000 0.000 0.000
0.500 0.500 0.500
0.000 0.500 0.500
0.500 0.000 0.500
0.500 0.500 0.000
```

Properties
SG: Pm-3m


It is one that is the most stable of them.


--- one ---
A plane-wave DFT calculation with PBE was carried out for BeAsF2 after structural relaxation.

```
BeAsF2
1.0
0.000 2.935 2.935
2.935 0.000 2.935
2.935 2.935 0.000
Be As F
1 1 2
direct
0.000 0.000 0.000
0.500 0.500 0.500
0.250 0.250 0.250
0.750 0.750 0.750
```

Properties
SG: Fm-3m


--- two ---
A plane-wave DFT calculation with PBE was carried out for BeAsF2 after structural relaxation.

```
BeAsF2
1.0
1.487 0.858 10.093
-1.487 0.858 10.093
0.000 -1.717 10.093
Be As F
1 1 2
direct
0.000 0.000 0.000
0.500 0.500 0.500
0.045 0.045 0.045
0.955 0.955 0.955
```

Properties
SG: R-3m


--- three ---
A plane-wave DFT calculation with PBE was carried out for BeAsF2 after structural relaxation.

```
BeAsF2
1.0
0.000 3.679 3.679
3.679 0.000 3.679
3.679 3.679 0.000
Be As F
2 2 4
direct
0.125 0.125 0.125
0.875 0.875 0.875
0.375 0.375 0.375
0.625 0.625 0.625
0.000 0.000 0.000
0.000 0.000 0.500
0.000 0.500 0.000
0.500 0.000 0.000
```

Properties
SG: Fd-3m


It is three that is the most stable of them.